Entry 1:
# Ti3ReW

A crystal of Ti3ReW relaxed with PBEsol (meta-GGA SCAN, the Alexandria database).

The calculation puts the total DFT energy (no corrections) at -36.370 eV/atom. The value obtained for the volume is 19.10 A^3/atom. The spin magnetization is 0.83 μB per formula unit. The formation energy is 1.40 eV per atom.

It has space group Pm-3m (No. 221), with a = 4.571 Å, b = 4.571 Å, c = 4.571 Å, α = 90.00°, β = 90.00° and γ = 90.00°. Symmetry generates all atoms from Ti at (0.000, 0.000, 0.500), Re at (0.500, 0.500, 0.500) and W at (0.000, 0.000, 0.000).

Entry 2:
# TlFe2Hg

A crystal of TlFe2Hg relaxed with PBEsol (meta-GGA SCAN, the Alexandria database).

As for the offset from the most stable computed form: 100 meV per atom. The calculation puts the total DFT energy (no corrections) at -43.769 eV/atom. The value obtained for the volume is 18.99 A^3/atom. The spin magnetization is 5.47 μB per formula unit. The formation energy is 0.43 eV per atom.

It has space group C2/m (No. 12), with a = 9.337 Å, b = 2.960 Å, c = 6.029 Å, α = 90.00°, β = 114.23° and γ = 90.00°. Symmetry generates all atoms from Tl at (0.000, 0.000, 0.000), Fe at (0.234, 0.500, 0.342) and Hg at (0.000, 0.500, 0.500).

Entry 3:
# Ca2CdW

A crystal of Ca2CdW relaxed with PBEsol (meta-GGA SCAN, the Alexandria database).

The calculation puts the total DFT energy (no corrections) at -29.160 eV/atom. The value obtained for the volume is 22.43 A^3/atom. The spin magnetization is 0.00 μB per formula unit. The formation energy is 0.70 eV per atom.

It has space group Pmmm (No. 47), with a = 2.955 Å, b = 4.834 Å, c = 6.281 Å, α = 90.00°, β = 90.00° and γ = 90.00°. Symmetry generates all atoms from Ca at (0.000, 0.000, 0.238), Cd at (0.500, 0.500, 0.500) and W at (0.500, 0.500, 0.000).